{"formula": "CoTc2P", "functional": "SCAN", "state": "PBEsol geometry", "delta_e_f_ev_per_fu": -0.9, "magnetic_moment_mub_per_fu": 0.0, "lattice": [[2.840, 0.000, 0.000], [0.000, 4.125, 0.000], [0.000, 0.000, 8.211]], "species": ["Co", "Co", "Tc", "Tc", "Tc", "Tc", "P", "P"], "fractional_positions": [[0.000, 0.000, 0.000], [0.500, 0.500, 0.500], [0.000, 0.000, 0.441], [0.000, 0.500, 0.218], [0.500, 0.000, 0.718], [0.500, 0.500, 0.941], [0.000, 0.500, 0.702], [0.500, 0.000, 0.202]]}